## CaMgAlHg (PBE)

Data for CaMgAlHg after structural relaxation.

```
CaMgAlHg
1.0
0.0000 3.5832 3.5832
3.5832 0.0000 3.5832
3.5832 3.5832 0.0000
Ca Mg Al Hg
1 1 1 1
Direct
0.0000 0.0000 0.0000 Ca
0.5000 0.5000 0.5000 Mg
0.7500 0.7500 0.7500 Al
0.2500 0.2500 0.2500 Hg
```

Values from the calculation:
For the formation energy, the calculation gives -0.242 eV per atom. The crystal system is cubic.